The following is a DFT calculation (PBE) of an optimized crystal structure of Tl2In2Cl7.

Lattice parameters (Å, degrees): 10.4669 11.7998 6.9726 90.00 99.54 90.00
With the nearest neighbours (Å) after each atom.
Space group C2/m (No. 12)
Asymmetric unit:
Tl1 0.0000 0.2158 0.0000 [4 per cell]  6 Cl 3.19-3.33
In1 0.2377 0.5000 0.4394 [4 per cell]  4 Cl 2.47-2.59
Cl1 0.0000 0.5000 0.5000 [2 per cell]  2 In 2.59
Cl2 0.1031 0.0000 0.2556 [4 per cell]  1 In 2.48
Cl3 0.2315 0.1703 0.7530 [8 per cell]  1 In 2.47

Electronic total energy ... -67.831 eV per cell
Energy relative to the elements, uncorrected ... -0.980 eV per atom
Calculated density ... 3.5 g/cm³
Magnetization ... 0.54 μB per cell

The following is a DFT calculation (PBE) of an optimized crystal structure of B2C.

Lattice parameters (Å, degrees): 2.6274 2.6274 3.3269 90.00 90.00 120.00
With the nearest neighbours (Å) after each atom.
Space group P-6m2 (No. 187)
Asymmetric unit:
B1 0.0000 0.0000 0.2454 [2 per cell]  2 B 1.63-1.69, 3 C 1.72
C1 0.6667 0.3333 0.0000 [1 per cell]  6 B 1.72

Offset from the most stable computed form ... 172.5 meV/atom
Electronic total energy ... -21.505 eV per cell
Energy of formation ... 0.36 eV per atom
Calculated density ... 2.8 g/cm³
Magnetization ... 0.00 μB per cell

The following is a DFT calculation (PBE) of an optimized crystal structure of NdHoPu2Se4.

Lattice parameters (Å, degrees): 7.1631 4.1290 7.2105 90.00 109.27 90.00
With the nearest neighbours (Å) after each atom.
Space group P2/m (No. 10)
Asymmetric unit:
Nd1 0.0000 0.0000 0.0000 [1 per cell]  6 Se 2.96
Ho1 0.5000 0.5000 0.0000 [1 per cell]  6 Se 2.90
Pu1 0.0000 0.5000 0.5000 [1 per cell]  6 Se 2.96
Pu2 0.5000 0.0000 0.5000 [1 per cell]  6 Se 2.90
Se1 0.2577 0.0000 0.7526 [2 per cell]  2 Ho 2.90, 3 Pu 2.90-2.96, 1 Nd 2.96
Se2 0.2578 0.5000 0.2529 [2 per cell]  3 Pu 2.90-2.96, 1 Ho 2.90, 2 Nd 2.96

Electronic total energy ... -65.341 eV per cell
Energy relative to the elements, uncorrected ... -1.674 eV per atom
Calculated density ... 9.2 g/cm³
Magnetization ... 11.65 μB per cell

The following is a DFT calculation (PBE) of an optimized crystal structure of GaReTc2Au.

Lattice parameters (Å, degrees): 4.5425 4.5425 4.4961 90.00 90.00 90.00
With the nearest neighbours (Å) after each atom.
Space group P4/mmm (No. 123)
Asymmetric unit:
Ga1 0.0000 0.0000 0.0000 [1 per cell]  2 Au 2.25, 4 Tc 2.27
Re1 0.5000 0.5000 0.5000 [1 per cell]  8 Tc 3.20, 4 Au 3.21
Tc1 0.0000 0.5000 0.0000 [2 per cell]  2 Ga 2.27
Au1 0.0000 0.0000 0.5000 [1 per cell]  2 Ga 2.25

Electronic total energy ... -30.709 eV per cell
Energy of formation ... 1.76 eV per atom
Calculated density ... 11.6 g/cm³
Magnetization ... 3.45 μB per cell

The following is a DFT calculation (PBE) of an optimized crystal structure of SmHo2Cd.

Lattice parameters (Å, degrees): 3.7867 5.4580 11.4034 90.00 90.00 90.00
With the nearest neighbours (Å) after each atom.
Space group Immm (No. 71)
Asymmetric unit:
Sm1 0.0000 0.0000 0.0000 [2 per cell]  4 Cd 3.32, 4 Ho 3.67
Ho1 0.0000 0.5000 0.2244 [4 per cell]  2 Cd 3.18, 4 Ho 3.37
Cd1 0.0000 0.0000 0.5000 [2 per cell]  4 Ho 3.18, 4 Sm 3.32

Offset from the most stable computed form ... 2.5 meV/atom
Electronic total energy ... -30.753 eV per cell
Energy of formation ... -0.15 eV per atom
Calculated density ... 8.4 g/cm³
Magnetization ... 0.00 μB per cell